# 1
A relaxed KTaIr2 crystal. Source: Alexandria via LeMat-Bulk, functional PBE.

Results
Energy above the most stable polymorph in this dataset, meV per atom: 678
E_form, eV per atom: 0.6426

Geometry as CIF:
```
data_KTaIr2
_chemical_formula_sum 'K1 Ta1 Ir2'
_space_group_name_H-M_alt 'P 1'
_space_group_IT_number 1
_space_group_name_Hall 'P 1'
_cell_length_a 4.6549
_cell_length_b 4.6549
_cell_length_c 4.6549
_cell_angle_alpha 60.00
_cell_angle_beta 60.00
_cell_angle_gamma 60.00
loop_
_atom_site_label
_atom_site_fract_x
_atom_site_fract_y
_atom_site_fract_z
K1 0.0000 0.0000 0.0000
Ir1 0.2500 0.2500 0.2500
Ir2 0.7500 0.7500 0.7500
Ta1 0.5000 0.5000 0.5000
```



# 2
A relaxed ReAuI2O crystal. Source: Alexandria via LeMat-Bulk, functional PBE.

Results
Energy above the most stable polymorph in this dataset, meV per atom: 0
Uncorrected formation energy, eV per atom: 0.094

Geometry as CIF:
```
data_ReAuI2O
_chemical_formula_sum 'Re1 Au1 I2 O1'
_space_group_name_H-M_alt 'P 1'
_space_group_IT_number 1
_space_group_name_Hall 'P 1'
_cell_length_a 5.5728
_cell_length_b 5.5728
_cell_length_c 3.7587
_cell_angle_alpha 90.00
_cell_angle_beta 90.00
_cell_angle_gamma 90.00
loop_
_atom_site_label
_atom_site_fract_x
_atom_site_fract_y
_atom_site_fract_z
I1 0.0000 0.5000 0.0000
I2 0.5000 0.0000 0.0000
Re1 0.0000 0.0000 0.0000
O1 0.0000 0.0000 0.5000
Au1 0.5000 0.5000 0.5000
```



# 3
A relaxed CaZrTe crystal. Source: Alexandria via LeMat-Bulk, functional PBE.

Results
Energy above the most stable polymorph in this dataset, meV per atom: 277
Uncorrected formation energy, eV per atom: -0.241

Geometry as CIF:
```
data_CaZrTe
_chemical_formula_sum 'Ca2 Zr2 Te2'
_space_group_name_H-M_alt 'P 1'
_space_group_IT_number 1
_space_group_name_Hall 'P 1'
_cell_length_a 3.3859
_cell_length_b 5.4927
_cell_length_c 11.5148
_cell_angle_alpha 76.20
_cell_angle_beta 90.00
_cell_angle_gamma 90.00
loop_
_atom_site_label
_atom_site_fract_x
_atom_site_fract_y
_atom_site_fract_z
Ca1 0.2500 0.1430 0.7139
Ca2 0.7500 0.8570 0.2861
Zr1 0.2500 0.2828 0.4343
Zr2 0.7500 0.7172 0.5657
Te1 0.2500 0.5967 0.8067
Te2 0.7500 0.4033 0.1933
```



# 4
A relaxed Mg4Si3 crystal. Source: Alexandria via LeMat-Bulk, functional PBE.

Results
Energy above the most stable polymorph in this dataset, meV per atom: 100
Uncorrected formation energy, eV per atom: 0.068

Geometry as CIF:
```
data_Mg4Si3
_chemical_formula_sum 'Mg8 Si6'
_space_group_name_H-M_alt 'P 1'
_space_group_IT_number 1
_space_group_name_Hall 'P 1'
_cell_length_a 5.4944
_cell_length_b 6.9758
_cell_length_c 8.0060
_cell_angle_alpha 102.90
_cell_angle_beta 108.45
_cell_angle_gamma 88.67
loop_
_atom_site_label
_atom_site_fract_x
_atom_site_fract_y
_atom_site_fract_z
Mg1 0.0670 0.2767 0.6861
Mg2 0.6630 0.9469 0.6491
Mg3 0.7113 0.5526 0.3923
Mg4 0.1388 0.2459 0.3246
Mg5 0.5723 0.2739 0.0045
Mg6 0.2479 0.7273 0.7397
Mg7 0.1742 0.5654 0.1048
Mg8 0.7934 0.8660 0.0668
Si1 0.0242 0.8825 0.4292
Si2 0.7826 0.6089 0.7689
Si3 0.3410 0.9445 0.1121
Si4 0.6772 0.1329 0.3693
Si5 0.5153 0.3202 0.6338
Si6 0.0417 0.1565 0.9687
```



# 5
A relaxed TbPr2Zr crystal. Source: Alexandria via LeMat-Bulk, functional PBE.

Results
Energy above the most stable polymorph in this dataset, meV per atom: 2
E_form, eV per atom: 0.1400

Geometry as CIF:
```
data_TbPr2Zr
_chemical_formula_sum 'Tb1 Pr2 Zr1'
_space_group_name_H-M_alt 'P 1'
_space_group_IT_number 1
_space_group_name_Hall 'P 1'
_cell_length_a 3.5406
_cell_length_b 3.5406
_cell_length_c 11.6974
_cell_angle_alpha 81.30
_cell_angle_beta 81.30
_cell_angle_gamma 60.00
loop_
_atom_site_label
_atom_site_fract_x
_atom_site_fract_y
_atom_site_fract_z
Tb1 0.6675 0.6675 0.9975
Pr1 0.0875 0.0875 0.7374
Pr2 0.2451 0.2451 0.2646
Zr1 0.4998 0.4998 0.5005
```



# 6
A relaxed MgCo2W crystal. Source: Alexandria via LeMat-Bulk, functional PBE.

Results
E_form, eV per atom: 0.2301

Geometry as CIF:
```
data_MgCo2W
_chemical_formula_sum 'Mg1 Co2 W1'
_space_group_name_H-M_alt 'P 1'
_space_group_IT_number 1
_space_group_name_Hall 'P 1'
_cell_length_a 5.2988
_cell_length_b 5.2988
_cell_length_c 5.2988
_cell_angle_alpha 150.51
_cell_angle_beta 131.46
_cell_angle_gamma 57.82
loop_
_atom_site_label
_atom_site_fract_x
_atom_site_fract_y
_atom_site_fract_z
W1 0.2223 0.7223 0.5000
Co1 0.9903 0.9903 0.0000
Co2 0.7779 0.2779 0.5000
Mg1 0.5095 0.5095 0.0000
```



# 7
A relaxed RbNaSnHg2 crystal. Source: Alexandria via LeMat-Bulk, functional PBE.

Results
E_form, eV per atom: -0.0749

Geometry as CIF:
```
data_RbNaSnHg2
_chemical_formula_sum 'Rb1 Na1 Sn1 Hg2'
_space_group_name_H-M_alt 'P 1'
_space_group_IT_number 1
_space_group_name_Hall 'P 1'
_cell_length_a 5.8896
_cell_length_b 5.8896
_cell_length_c 5.8731
_cell_angle_alpha 90.00
_cell_angle_beta 90.00
_cell_angle_gamma 90.00
loop_
_atom_site_label
_atom_site_fract_x
_atom_site_fract_y
_atom_site_fract_z
Na1 0.0000 0.0000 0.5000
Hg1 0.5000 0.0000 0.0000
Hg2 0.0000 0.5000 0.0000
Rb1 0.5000 0.5000 0.5000
Sn1 0.0000 0.0000 0.0000
```



# 8
A relaxed La2YPb crystal. Source: Alexandria via LeMat-Bulk, functional PBE.

Results
E_form, eV per atom: -0.1487

Geometry as CIF:
```
data_La2YPb
_chemical_formula_sum 'La2 Y1 Pb1'
_space_group_name_H-M_alt 'P 1'
_space_group_IT_number 1
_space_group_name_Hall 'P 1'
_cell_length_a 3.7102
_cell_length_b 3.7102
_cell_length_c 11.6730
_cell_angle_alpha 80.86
_cell_angle_beta 80.86
_cell_angle_gamma 60.00
loop_
_atom_site_label
_atom_site_fract_x
_atom_site_fract_y
_atom_site_fract_z
Y1 0.5003 0.5003 0.4992
Pb1 0.6665 0.6665 0.0006
La1 0.0811 0.0811 0.7567
La2 0.2522 0.2522 0.2435
```



Spin magnetization, respectively: 0.00 0.00 0.00 0.00 0.00 1.10 0.00 0.45 μB/f.u..
D(E_F), respectively: 0.6 2.2 4.6 4.3 5.9 5.3 4.4 5.0 states/eV per cell.